# 1
VASP calculation (SCAN) on a crystal of MgCdPb2 relaxed with PBEsol.

abc: 6.7145 8.9176 3.4360
angles: 90.00 90.00 90.00
Space group Cmmm (No. 65)
Unique sites:
1 Mg 0.0000 0.0000 0.0000 [2 per cell]
2 Cd 0.0000 0.5000 0.0000 [2 per cell]
3 Pb 0.2500 0.2500 0.5000 [4 per cell]

Results
Energy of formation from the pure elements ... -0.038 eV per atom
Energy relative to the lowest polymorph listed for this composition ... 0.018 eV/atom
Crystal system ... orthorhombic
VASP energy ... -46.775 eV/atom

# 2
VASP calculation (SCAN) on a crystal of Be2ZnOs relaxed with PBEsol.

abc: 3.2424 3.7895 7.1579
angles: 90.00 90.00 90.00
Space group Immm (No. 71)
Unique sites:
1 Be 0.0000 0.0000 0.2498 [4 per cell]
2 Zn 0.0000 0.5000 0.0000 [2 per cell]
3 Os 0.0000 0.5000 0.5000 [2 per cell]

Results
Energy of formation from the pure elements ... -0.079 eV per atom
Crystal system ... orthorhombic
VASP energy ... -23.604 eV/atom

# 3
VASP calculation (SCAN) on a crystal of Te2IrBr relaxed with PBEsol.

abc: 3.9273 3.9273 22.3167
angles: 90.00 90.00 120.00
Space group R-3m (No. 166, hexagonal axes)
Unique sites:
1 Te 0.0000 0.0000 0.2274 [6 per cell]
2 Ir 0.0000 0.0000 0.5000 [3 per cell]
3 Br 0.0000 0.0000 0.0000 [3 per cell]

Results
ΔE_f (raw) ... -0.316 eV per atom
Energy relative to the lowest polymorph listed for this composition ... 0.000 eV/atom
Crystal system ... trigonal
VASP energy ... -41.581 eV/atom

# 4
VASP calculation (SCAN) on a crystal of LiMnAlO3 relaxed with PBEsol.

abc: 5.2726 5.4560 5.4594
angles: 65.28 66.21 66.62
Space group P-1 (No. 2)
Unique sites:
1 Li 0.0747 0.4294 0.2519 [2 per cell]
2 Mn 0.4230 0.7393 0.5940 [2 per cell]
3 Al 0.2436 0.9203 0.0870 [2 per cell]
4 O 0.0715 0.7820 0.9320 [2 per cell]
5 O 0.2448 0.6183 0.3937 [2 per cell]
6 O 0.4274 0.0827 0.2111 [2 per cell]

Results
ΔE_f (raw) ... -2.600 eV per atom
Crystal system ... triclinic
VASP energy ... -10.448 eV/atom

# 5
VASP calculation (SCAN) on a crystal of Ba5Pb24 relaxed with PBEsol.

abc: 12.3003 12.3003 12.3003
angles: 90.00 90.00 90.00
Space group I-43m (No. 217)
Unique sites:
1 Ba 0.0000 0.0000 0.0000 [2 per cell]
2 Ba 0.1864 0.1864 0.8136 [8 per cell]
3 Pb 0.0340 0.3611 0.3611 [24 per cell]
4 Pb 0.0941 0.0941 0.2856 [24 per cell]

Results
Energy of formation from the pure elements ... -0.294 eV per atom
Crystal system ... cubic
VASP energy ... -69.828 eV/atom

# 6
VASP calculation (SCAN) on a crystal of KPuCO5 relaxed with PBEsol.

abc: 5.0363 5.0363 10.1323
angles: 90.00 90.00 120.00
Space group P6_3/mmc (No. 194)
Unique sites:
1 K 0.0000 0.0000 0.0000 [2 per cell]
2 Pu 0.3333 0.6667 0.2500 [2 per cell]
3 C 0.3333 0.6667 0.7500 [2 per cell]
4 O 0.1854 0.3708 0.7500 [6 per cell]
5 O 0.3333 0.6667 0.0706 [4 per cell]

Results
ΔE_f (raw) ... -2.378 eV per atom
Crystal system ... hexagonal
VASP energy ... -22.344 eV/atom

# 7
VASP calculation (SCAN) on a crystal of LiRe2Se relaxed with PBEsol.

abc: 3.6280 3.6280 9.0278
angles: 90.00 90.00 90.00
Space group I4/mmm (No. 139)
Unique sites:
1 Li 0.0000 0.0000 0.0000 [2 per cell]
2 Re 0.0000 0.5000 0.2500 [4 per cell]
3 Se 0.0000 0.0000 0.5000 [2 per cell]

Results
ΔE_f (raw) ... 0.559 eV per atom
Crystal system ... tetragonal
VASP energy ... -40.607 eV/atom

# 8
VASP calculation (SCAN) on a crystal of Mg3In5 relaxed with PBEsol.

abc: 11.5011 11.5011 5.8240
angles: 90.00 90.00 90.00
Space group I4/mcm (No. 140)
Unique sites:
1 Mg 0.0000 0.0000 0.2500 [4 per cell]
2 Mg 0.1797 0.3203 0.0000 [8 per cell]
3 In 0.0000 0.5000 0.2500 [4 per cell]
4 In 0.0659 0.2352 0.5000 [16 per cell]

Results
Energy of formation from the pure elements ... -0.047 eV per atom
Energy relative to the lowest polymorph listed for this composition ... 0.000 eV/atom
Crystal system ... tetragonal
VASP energy ... -22.779 eV/atom

# 9
VASP calculation (SCAN) on a crystal of CoTcRh2 relaxed with PBEsol.

abc: 5.2465 7.4103 2.6337
angles: 90.00 90.00 90.00
Space group Cmmm (No. 65)
Unique sites:
1 Co 0.0000 0.0000 0.0000 [2 per cell]
2 Tc 0.0000 0.5000 0.0000 [2 per cell]
3 Rh 0.2500 0.2500 0.5000 [4 per cell]

Results
Energy of formation from the pure elements ... 0.061 eV per atom
Energy relative to the lowest polymorph listed for this composition ... 0.000 eV/atom
Crystal system ... orthorhombic
VASP energy ... -29.916 eV/atom

# 10
VASP calculation (SCAN) on a crystal of Y2CoSe relaxed with PBEsol.

abc: 3.8157 3.8157 20.6961
angles: 90.00 90.00 120.00
Space group R-3m (No. 166, hexagonal axes)
Unique sites:
1 Y 0.0000 0.0000 0.2420 [6 per cell]
2 Co 0.0000 0.0000 0.5000 [3 per cell]
3 Se 0.0000 0.0000 0.0000 [3 per cell]

Results
ΔE_f (raw) ... -0.883 eV per atom
Crystal system ... trigonal
VASP energy ... -24.150 eV/atom

# 11
VASP calculation (SCAN) on a crystal of EuAgP relaxed with PBEsol.

abc: 4.3097 4.3097 7.7982
angles: 90.00 90.00 120.00
Space group P6_3/mmc (No. 194)
Unique sites:
1 Eu 0.0000 0.0000 0.0000 [2 per cell]
2 Ag 0.3333 0.6667 0.2500 [2 per cell]
3 P 0.3333 0.6667 0.7500 [2 per cell]

Results
Energy of formation from the pure elements ... -0.869 eV per atom
Crystal system ... hexagonal
VASP energy ... -32.695 eV/atom

# 12
VASP calculation (SCAN) on a crystal of BaNa3Ga relaxed with PBEsol.

abc: 5.7125 5.7125 5.7125
angles: 90.00 90.00 90.00
Space group Pm-3m (No. 221)
Unique sites:
1 Ba 0.0000 0.0000 0.0000 [1 per cell]
2 Na 0.0000 0.5000 0.5000 [3 per cell]
3 Ga 0.5000 0.5000 0.5000 [1 per cell]

Results
Energy of formation from the pure elements ... 0.066 eV per atom
Energy relative to the lowest polymorph listed for this composition ... 0.000 eV/atom
Crystal system ... cubic
VASP energy ... -13.643 eV/atom